Density functional theory data (PBE-GGA) for a relaxed FeHgSe3 crystal.

Calculated values
* total magnetic moment: 0.00 μB per formula unit
* ΔE_f (raw): 8.4 kcal/mol of atoms

Lattice parameters (Å, degrees): 4.757 4.757 4.757 90.00 90.00 90.00
Atoms (fractional coordinates):
Fe 0.000 0.000 0.000
Hg 0.500 0.500 0.500
Se 0.000 0.000 0.500
Se 0.000 0.500 0.000
Se 0.500 0.000 0.000

Density functional theory data (PBE-GGA) for a relaxed YSeBr2 crystal.

Calculated values
* total magnetic moment: 1.02 μB per formula unit
* ΔE_f (raw): -31.5 kcal/mol of atoms

Lattice parameters (Å, degrees): 5.481 5.481 7.635 106.82 106.82 41.95
Atoms (fractional coordinates):
Y 0.000 0.000 0.000
Se 0.711 0.711 0.011
Br 0.362 0.362 0.730
Br 0.532 0.532 0.287

Density functional theory data (PBE-GGA) for a relaxed LiHo2Ni9 crystal.

Calculated values
* total magnetic moment: 2.34 μB per formula unit
* calculated formation energy: -0.24 eV/atom

Lattice parameters (Å, degrees): 8.457 8.457 8.457 33.82 33.82 33.82
Atoms (fractional coordinates):
Li 0.000 0.000 0.000
Ho 0.135 0.135 0.135
Ho 0.865 0.865 0.865
Ni 0.080 0.583 0.583
Ni 0.333 0.333 0.333
Ni 0.417 0.417 0.920
Ni 0.417 0.920 0.417
Ni 0.500 0.500 0.500
Ni 0.583 0.080 0.583
Ni 0.583 0.583 0.080
Ni 0.667 0.667 0.667
Ni 0.920 0.417 0.417

Density functional theory data (PBE-GGA) for a relaxed Ce2CoOs crystal.

Calculated values
* total magnetic moment: 0.58 μB per formula unit
* calculated formation energy: 0.33 eV/atom

Lattice parameters (Å, degrees): 9.819 9.819 9.819 17.30 17.30 17.30
Atoms (fractional coordinates):
Ce 0.083 0.083 0.083
Ce 0.917 0.917 0.917
Co 0.000 0.000 0.000
Os 0.500 0.500 0.500

Density functional theory data (PBE-GGA) for a relaxed SrTcMo crystal.

Calculated values
* total magnetic moment: 0.00 μB per formula unit
* calculated formation energy: 0.51 eV/atom

Lattice parameters (Å, degrees): 6.147 6.147 7.971 128.23 128.23 39.22
Atoms (fractional coordinates):
Sr 0.000 0.000 0.000
Sr 0.146 0.146 0.694
Tc 0.366 0.366 0.525
Tc 0.723 0.723 0.426
Mo 0.433 0.433 0.279
Mo 0.778 0.778 0.167

Density functional theory data (PBE-GGA) for a relaxed Sr3MgSn crystal.

Calculated values
* total magnetic moment: 0.00 μB per formula unit
* calculated formation energy: -0.22 eV/atom

Lattice parameters (Å, degrees): 9.412 9.412 9.395 90.07 90.07 75.23
Atoms (fractional coordinates):
Sr 0.128 0.129 0.005
Sr 0.129 0.128 0.505
Sr 0.203 0.535 0.556
Sr 0.204 0.528 0.946
Sr 0.465 0.797 0.944
Sr 0.472 0.796 0.554
Sr 0.528 0.204 0.446
Sr 0.535 0.203 0.056
Sr 0.796 0.472 0.054
Sr 0.797 0.465 0.444
Sr 0.871 0.872 0.495
Sr 0.872 0.871 0.995
Mg 0.197 0.803 0.250
Mg 0.458 0.542 0.250
Mg 0.542 0.458 0.750
Mg 0.803 0.197 0.750
Sn 0.142 0.388 0.253
Sn 0.388 0.142 0.753
Sn 0.612 0.858 0.247
Sn 0.858 0.612 0.747